No. 1
Material: Mg8InPb5
Method: DFT, PBE-GGA
State: relaxed

It has space group I-4 (No. 82), with a = 8.888 Å, b = 8.888 Å, c = 9.266 Å, α = 90.00°, β = 90.00° and γ = 90.00°. Symmetry generates all atoms from Mg at (0.075, 0.168, 0.348), Mg at (0.083, 0.338, 0.985), In at (0.000, 0.500, 0.250), Pb at (0.000, 0.000, 0.000) and Pb at (0.143, 0.268, 0.668).

The calculated formation energy comes out at -0.0107 eV/atom.

***

No. 2
Material: HfScOs
Method: DFT, PBE-GGA
State: relaxed

It has space group F-43m (No. 216), with a = 6.367 Å, b = 6.367 Å, c = 6.367 Å, α = 90.00°, β = 90.00° and γ = 90.00°. Symmetry generates all atoms from Hf at (0.000, 0.000, 0.000), Sc at (0.000, 0.000, 0.500) and Os at (0.250, 0.250, 0.250).

The calculated formation energy comes out at -0.2710 eV/atom.